The following is a PBE calculation of a relaxed structure of Sr3VRe, from the Alexandria database.

The space group is Pm-3m (No. 221) and the conventional cell measures 5.771, 5.771 and 5.771 Å, with angles of 90.00, 90.00 and 90.00 degrees. Symmetry generates all atoms from Sr at (0.000, 0.000, 0.500), V at (0.500, 0.500, 0.500) and Re at (0.000, 0.000, 0.000).

The value obtained for the total energy is -0.29489 Ry/atom. Its density is 4.32 Mg/m³. The distance to the lowest polymorph of the same formula is 0.0 meV per atom.